1.
Entry from Alexandria: a relaxed structure of TiPb3I (PBE-GGA).

Output
For the relative energy among the computed polymorphs, the calculation gives 1048 meV per atom. The value obtained for the uncorrected formation energy is 1231 meV per atom. The calculation puts the calculated total energy at -14.41 eV per cell. As for the calculated volume: 40.93 Å³/atom. As for the space group: Pm-3m, No. 221.

```
TiPb3I
1.0
5.893 0.000 0.000
0.000 5.893 0.000
0.000 0.000 5.893
Ti Pb I
1 3 1
Direct
0.000 0.000 0.000 Ti
0.000 0.500 0.500 Pb
0.500 0.000 0.500 Pb
0.500 0.500 0.000 Pb
0.500 0.500 0.500 I
```

2.
Entry from Alexandria: a relaxed structure of Ba3ZnTe2O9 (PBE-GGA).

Output
The value obtained for the uncorrected formation energy is -1883 meV per atom. The calculation puts the calculated total energy at -86.20 eV per cell. As for the calculated volume: 14.89 Å³/atom. As for the space group: P-3m1, No. 164.

```
Ba3ZnTe2O9
1.0
5.949 0.000 0.000
-2.974 5.152 0.000
0.000 0.000 7.288
Ba Zn Te O
3 1 2 9
Direct
0.000 0.000 0.000 Ba
0.333 0.667 0.664 Ba
0.667 0.333 0.336 Ba
0.000 0.000 0.500 Zn
0.333 0.667 0.178 Te
0.667 0.333 0.822 Te
0.000 0.500 0.000 O
0.173 0.345 0.330 O
0.173 0.827 0.330 O
0.345 0.173 0.670 O
0.500 0.000 0.000 O
0.500 0.500 0.000 O
0.655 0.827 0.330 O
0.827 0.173 0.670 O
0.827 0.655 0.670 O
```

3.
Entry from Alexandria: a relaxed structure of Ce2TmRu (PBE-GGA).

Output
For the relative energy among the computed polymorphs, the calculation gives 160 meV per atom. The calculation puts the calculated total energy at -25.92 eV per cell. As for the calculated volume: 24.83 Å³/atom. Its formation energy is -0.08 eV/atom. As for the space group: P4/mmm, No. 123.

```
Ce2TmRu
1.0
3.688 0.000 0.000
0.000 3.688 0.000
0.000 0.000 7.303
Ce Tm Ru
2 1 1
Direct
0.000 0.000 0.194 Ce
0.000 0.000 0.806 Ce
0.500 0.500 0.500 Tm
0.500 0.500 0.000 Ru
```

4.
Entry from Alexandria: a relaxed structure of LiMgBe4 (PBE-GGA).

Output
The calculation puts the calculated total energy at -18.08 eV per cell. As for the calculated volume: 10.96 Å³/atom. Its formation energy is 0.05 eV/atom. As for the space group: F-43m, No. 216.

```
LiMgBe4
1.0
0.000 3.203 3.203
3.203 0.000 3.203
3.203 3.203 0.000
Li Mg Be
1 1 4
Direct
0.000 0.000 0.000 Li
0.750 0.750 0.750 Mg
0.375 0.375 0.375 Be
0.375 0.375 0.876 Be
0.375 0.876 0.375 Be
0.876 0.375 0.375 Be
```

5.
Entry from Alexandria: a relaxed structure of ScBeMo2 (PBE-GGA).

Output
The calculation puts the calculated total energy at -59.37 eV per cell. As for the calculated volume: 16.55 Å³/atom. Its formation energy is 0.51 eV/atom. As for the space group: I-42d, No. 122.

```
ScBeMo2
1.0
-1.867 1.867 9.500
1.867 -1.867 9.500
1.867 1.867 -9.500
Sc Be Mo
2 2 4
Direct
0.000 0.000 0.000 Sc
0.750 0.250 0.500 Sc
0.250 0.750 0.500 Be
0.500 0.500 0.000 Be
0.133 0.125 0.508 Mo
0.375 0.867 0.992 Mo
0.617 0.625 0.492 Mo
0.875 0.383 0.008 Mo
```

6.
Entry from Alexandria: a relaxed structure of AlGa4Cu15 (PBE-GGA).

Output
The calculation puts the calculated total energy at -79.63 eV per cell. As for the calculated volume: 12.62 Å³/atom. Its formation energy is -0.12 eV/atom. As for the space group: P4/mmm, No. 123.

```
AlGa4Cu15
1.0
3.683 0.000 0.000
0.000 3.683 0.000
0.000 0.000 18.613
Al Ga Cu
1 4 15
Direct
0.000 0.000 0.000 Al
0.000 0.000 0.200 Ga
0.000 0.000 0.400 Ga
0.000 0.000 0.600 Ga
0.000 0.000 0.800 Ga
0.000 0.500 0.099 Cu
0.000 0.500 0.300 Cu
0.000 0.500 0.500 Cu
0.000 0.500 0.700 Cu
0.000 0.500 0.901 Cu
0.500 0.000 0.099 Cu
0.500 0.000 0.300 Cu
0.500 0.000 0.500 Cu
0.500 0.000 0.700 Cu
0.500 0.000 0.901 Cu
0.500 0.500 0.000 Cu
0.500 0.500 0.200 Cu
0.500 0.500 0.400 Cu
0.500 0.500 0.600 Cu
0.500 0.500 0.800 Cu
```

7.
Entry from Alexandria: a relaxed structure of Zr3TaAg (PBE-GGA).

Output
For the relative energy among the computed polymorphs, the calculation gives 0 meV per atom. The calculation puts the calculated total energy at -35.38 eV per cell. As for the calculated volume: 26.91 Å³/atom. Its formation energy is 0.99 eV/atom. As for the space group: Pm-3m, No. 221.

```
Zr3TaAg
1.0
5.124 0.000 0.000
0.000 5.124 0.000
0.000 0.000 5.124
Zr Ta Ag
3 1 1
Direct
0.000 0.000 0.500 Zr
0.000 0.500 0.000 Zr
0.500 0.000 0.000 Zr
0.000 0.000 0.000 Ta
0.500 0.500 0.500 Ag
```

8.
Entry from Alexandria: a relaxed structure of MgNbNiPt (PBE-GGA).

Output
The calculation puts the calculated total energy at -25.08 eV per cell. As for the calculated volume: 15.62 Å³/atom. Its formation energy is -0.40 eV/atom. As for the space group: F-43m, No. 216.

```
MgNbNiPt
1.0
0.000 3.149 3.149
3.149 0.000 3.149
3.149 3.149 0.000
Mg Nb Ni Pt
1 1 1 1
Direct
0.000 0.000 0.000 Mg
0.500 0.500 0.500 Nb
0.750 0.750 0.750 Ni
0.250 0.250 0.250 Pt
```